Entry 1:
The following is a PBE calculation of Li3YRe after structural relaxation, from Alexandria via LeMat-Bulk.

As for the size of the total moment: 0.20 μB per atom. The uncorrected energy comes out at -15.1 eV/cell.

The structure belongs to space group Pm-3m (No. 221); the cell edges are 4.4768, 4.4768 and 4.4768 Å and the angles 90.00°, 90.00° and 90.00°. The distinct sites, in fractional coordinates, are Li at (0.0000, 0.0000, 0.5000), Y at (0.0000, 0.0000, 0.0000) and Re at (0.5000, 0.5000, 0.5000).

---

Entry 2:
The following is a PBE calculation of LiYRe after structural relaxation, from Alexandria via LeMat-Bulk.

As for the size of the total moment: 0.08 μB per atom. The uncorrected energy comes out at -38.6 eV/cell.

The structure belongs to space group I4mm (No. 107); the cell edges are 3.4136, 3.4136 and 9.4761 Å and the angles 90.00°, 90.00° and 90.00°. The distinct sites, in fractional coordinates, are Li at (0.0000, 0.0000, 0.0000), Y at (0.0000, 0.0000, 0.3034) and Re at (0.0000, 0.0000, 0.6231).

---

Entry 3:
The following is a PBE calculation of LiY4Re after structural relaxation, from Alexandria via LeMat-Bulk.

As for the size of the total moment: 0.00 μB per atom. The uncorrected energy comes out at -137.3 eV/cell.

The structure belongs to space group F-43m (No. 216); the cell edges are 8.6099, 8.6099 and 8.6099 Å and the angles 90.00°, 90.00° and 90.00°. The distinct sites, in fractional coordinates, are Li at (0.0000, 0.0000, 0.0000), Y at (0.1230, 0.1230, 0.3770) and Re at (0.2500, 0.2500, 0.7500).

---

Entry 4:
The following is a PBE calculation of LiYRe2 after structural relaxation, from Alexandria via LeMat-Bulk.

As for the size of the total moment: 0.00 μB per atom. The uncorrected energy comes out at -32.2 eV/cell.

The structure belongs to space group Pm (No. 6); the cell edges are 2.9002, 4.3169 and 5.7803 Å and the angles 90.00°, 101.28° and 90.00°. The distinct sites, in fractional coordinates, are Li at (0.0000, 0.0000, 0.0000), Y at (0.3301, 0.5000, 0.7350), Re at (0.6145, 0.0000, 0.4147) and Re at (0.8854, 0.5000, 0.2606).

---

Entry 5:
The following is a PBE calculation of LiYRe2 after structural relaxation, from Alexandria via LeMat-Bulk.

As for the size of the total moment: 0.00 μB per atom. The uncorrected energy comes out at -122.7 eV/cell.

The structure belongs to space group I-42d (No. 122); the cell edges are 3.8396, 3.8396 and 19.9536 Å and the angles 90.00°, 90.00° and 90.00°. The distinct sites, in fractional coordinates, are Li at (0.0000, 0.0000, 0.0000), Y at (0.0000, 0.0000, 0.5000) and Re at (0.2073, 0.7500, 0.1250).

---

Entry 6:
The following is a PBE calculation of LiYRe2 after structural relaxation, from Alexandria via LeMat-Bulk.

As for the size of the total moment: 0.00 μB per atom. The uncorrected energy comes out at -63.3 eV/cell.

The structure belongs to space group C2/m (No. 12); the cell edges are 5.3732, 9.7795 and 2.7830 Å and the angles 90.00°, 111.65° and 90.00°. The distinct sites, in fractional coordinates, are Li at (0.0000, 0.0000, 0.0000), Y at (0.0000, 0.5000, 0.0000) and Re at (0.2500, 0.2500, 0.5000).

---

Entry 7:
The following is a PBE calculation of LiYRe2 after structural relaxation, from Alexandria via LeMat-Bulk.

As for the size of the total moment: 0.00 μB per atom. The uncorrected energy comes out at -31.8 eV/cell.

The structure belongs to space group P2/m (No. 10); the cell edges are 3.1785, 4.8029 and 4.6428 Å and the angles 90.00°, 98.90° and 90.00°. The distinct sites, in fractional coordinates, are Li at (0.0000, 0.0000, 0.0000), Y at (0.5000, 0.0000, 0.5000) and Re at (0.1751, 0.5000, 0.7759).

---

Entry 8:
The following is a PBE calculation of LiYRe2 after structural relaxation, from Alexandria via LeMat-Bulk.

As for the size of the total moment: 0.00 μB per atom. The uncorrected energy comes out at -64.9 eV/cell.

The structure belongs to space group Imm2 (No. 44); the cell edges are 4.3209, 4.8818 and 6.6407 Å and the angles 90.00°, 90.00° and 90.00°. The distinct sites, in fractional coordinates, are Li at (0.0000, 0.0000, 0.0000), Y at (0.0000, 0.5000, 0.2328), Re at (0.0000, 0.0000, 0.4555) and Re at (0.0000, 0.5000, 0.7558).

---

Entry 9:
The following is a PBE calculation of LiYRe after structural relaxation, from Alexandria via LeMat-Bulk.

As for the size of the total moment: 0.00 μB per atom. The uncorrected energy comes out at -39.0 eV/cell.

The structure belongs to space group Imm2 (No. 44); the cell edges are 2.7884, 4.4509 and 9.0214 Å and the angles 90.00°, 90.00° and 90.00°. The distinct sites, in fractional coordinates, are Li at (0.0000, 0.0000, 0.0000), Y at (0.0000, 0.0000, 0.3162) and Re at (0.0000, 0.0000, 0.6518).

---

Entry 10:
The following is a PBE calculation of LiYRe2 after structural relaxation, from Alexandria via LeMat-Bulk.

As for the size of the total moment: 0.00 μB per atom. The uncorrected energy comes out at -31.3 eV/cell.

The structure belongs to space group P4/mmm (No. 123); the cell edges are 3.3070, 3.3070 and 6.3774 Å and the angles 90.00°, 90.00° and 90.00°. The distinct sites, in fractional coordinates, are Li at (0.0000, 0.0000, 0.0000), Y at (0.0000, 0.0000, 0.5000) and Re at (0.5000, 0.5000, 0.1815).

---

Entry 11:
The following is a PBE calculation of LiYRe2 after structural relaxation, from Alexandria via LeMat-Bulk.

As for the size of the total moment: 0.00 μB per atom. The uncorrected energy comes out at -31.3 eV/cell.

The structure belongs to space group Pmmm (No. 47); the cell edges are 2.6236, 4.5875 and 5.9104 Å and the angles 90.00°, 90.00° and 90.00°. The distinct sites, in fractional coordinates, are Li at (0.0000, 0.0000, 0.0000), Y at (0.0000, 0.0000, 0.5000) and Re at (0.5000, 0.5000, 0.2074).

---

Entry 12:
The following is a PBE calculation of LiYRe2 after structural relaxation, from Alexandria via LeMat-Bulk.

As for the size of the total moment: 0.00 μB per atom. The uncorrected energy comes out at -116.9 eV/cell.

The structure belongs to space group Fm-3m (No. 225); the cell edges are 6.4868, 6.4868 and 6.4868 Å and the angles 90.00°, 90.00° and 90.00°. The distinct sites, in fractional coordinates, are Li at (0.0000, 0.0000, 0.0000), Y at (0.0000, 0.0000, 0.5000) and Re at (0.2500, 0.2500, 0.2500).

---

no.,energy of formation from the pure elements (eV per atom)
1,1.91
2,0.51
3,0.98
4,0.27
5,0.65
6,0.41
7,0.36
8,0.20
9,0.44
10,0.50
11,0.49
12,1.01